Crystalline Pu6UGe5 at its relaxed geometry. Source: the Alexandria database, functional PBE-GGA.

Computed properties:
total energy = -124.04 eV per cell
calculated volume = 21.81 A^3/atom
symmetry = C2/m (12)

Lattice parameters (Å, degrees): 8.5114 8.5114 8.0395 117.75 117.75 30.88
Fractional positions:
Pu (0.0019, 0.0019, 0.2559)
Pu (0.3215, 0.3215, 0.5733)
Pu (0.3247, 0.3247, 0.0731)
Pu (0.6753, 0.6753, 0.9269)
Pu (0.6785, 0.6785, 0.4267)
Pu (0.9981, 0.9981, 0.7441)
U (0.5000, 0.5000, 0.5000)
Ge (0.1524, 0.1524, 0.6537)
Ge (0.1589, 0.1589, 0.1581)
Ge (0.5000, 0.5000, 0.0000)
Ge (0.8411, 0.8411, 0.8419)
Ge (0.8476, 0.8476, 0.3463)